## Y2NpWN6 (PBE)

Data for crystalline Y2NpWN6 at its relaxed geometry.

Cell and atoms, written as CIF:
```
data_Y2NpWN6
_chemical_formula_sum 'Y2 Np1 W1 N6'
_cell_length_a 5.6569
_cell_length_b 5.6569
_cell_length_c 4.4399
_cell_angle_alpha 90.00
_cell_angle_beta 90.00
_cell_angle_gamma 90.00
_space_group_name_H-M_alt 'P 4 m m'
_space_group_IT_number 99
_space_group_name_Hall 'P 4 -2'
loop_
_atom_site_label
_atom_site_fract_x
_atom_site_fract_y
_atom_site_fract_z
Y1 0.0000 0.5000 0.0000
Np1 0.0000 0.0000 0.6123
W1 0.5000 0.5000 0.5738
N1 0.0000 0.0000 0.1370
N2 0.2587 0.2587 0.6957
N3 0.5000 0.5000 0.1662
```

ρ in Mg/m³: 8.0
Fermi-level density of states in states/eV/atom: 0.192
Uncorrected formation energy in meV/atom: -954